Entry 1:
# Cs3LaCl6

A relaxed Cs3LaCl6 crystal (GGA-PBE, the Alexandria database).

Output
The density of states at the Fermi level comes out at 0.000 states/eV/atom. For the energy above the lowest structure with this stoichiometry, the calculation gives 11 meV per atom.

```
data_Cs3LaCl6
_chemical_formula_sum 'Cs3 La1 Cl6'
_space_group_name_H-M_alt 'P 1'
_space_group_IT_number 1
_space_group_name_Hall 'P 1'
_cell_length_a 8.287
_cell_length_b 8.287
_cell_length_c 8.511
_cell_angle_alpha 118.16
_cell_angle_beta 118.16
_cell_angle_gamma 60.93
loop_
_atom_site_label
_atom_site_fract_x
_atom_site_fract_y
_atom_site_fract_z
Cs1 0.000 0.000 0.000
Cs2 0.245 0.245 0.719
Cs3 0.755 0.755 0.281
La1 0.500 0.500 0.500
Cl1 0.196 0.662 0.648
Cl2 0.286 0.286 0.167
Cl3 0.338 0.804 0.352
Cl4 0.662 0.196 0.648
Cl5 0.714 0.714 0.833
Cl6 0.804 0.338 0.352
```

***

Entry 2:
# Cs2LiLaCl6

A relaxed Cs2LiLaCl6 crystal (GGA-PBE, the Alexandria database).

Output
The density of states at the Fermi level comes out at 0.000 states/eV/atom. As for the energy: -4.088 eV/atom.

```
data_Cs2LiLaCl6
_chemical_formula_sum 'Cs2 Li1 La1 Cl6'
_space_group_name_H-M_alt 'P 1'
_space_group_IT_number 1
_space_group_name_Hall 'P 1'
_cell_length_a 7.639
_cell_length_b 7.639
_cell_length_c 6.813
_cell_angle_alpha 90.00
_cell_angle_beta 90.00
_cell_angle_gamma 120.00
loop_
_atom_site_label
_atom_site_fract_x
_atom_site_fract_y
_atom_site_fract_z
Cs1 0.333 0.667 0.317
Cs2 0.667 0.333 0.683
Li1 0.000 0.000 0.500
La1 0.000 0.000 0.000
Cl1 0.160 0.319 0.734
Cl2 0.160 0.840 0.734
Cl3 0.319 0.160 0.266
Cl4 0.681 0.840 0.734
Cl5 0.840 0.160 0.266
Cl6 0.840 0.681 0.266
```

***

Entry 3:
# CsLi4La3Cl12

A relaxed CsLi4La3Cl12 crystal (GGA-PBE, the Alexandria database).

Output
The density of states at the Fermi level comes out at 0.536 states/eV/atom. As for the energy: -4.237 eV/atom.

```
data_CsLi4La3Cl12
_chemical_formula_sum 'Cs1 Li4 La3 Cl12'
_space_group_name_H-M_alt 'P 1'
_space_group_IT_number 1
_space_group_name_Hall 'P 1'
_cell_length_a 9.327
_cell_length_b 9.327
_cell_length_c 9.327
_cell_angle_alpha 108.63
_cell_angle_beta 108.63
_cell_angle_gamma 108.63
loop_
_atom_site_label
_atom_site_fract_x
_atom_site_fract_y
_atom_site_fract_z
Cs1 0.000 0.000 0.000
Li1 0.079 0.500 0.921
Li2 0.500 0.500 0.500
Li3 0.500 0.921 0.079
Li4 0.921 0.079 0.500
La1 0.000 0.573 0.427
La2 0.427 0.000 0.573
La3 0.573 0.427 0.000
Cl1 0.065 0.654 0.768
Cl2 0.076 0.924 0.500
Cl3 0.232 0.346 0.935
Cl4 0.346 0.935 0.232
Cl5 0.350 0.650 0.500
Cl6 0.500 0.076 0.924
Cl7 0.500 0.350 0.650
Cl8 0.650 0.500 0.350
Cl9 0.654 0.768 0.065
Cl10 0.768 0.065 0.654
Cl11 0.924 0.500 0.076
Cl12 0.935 0.232 0.346
```

***

Entry 4:
# CsLiLaCl5

A relaxed CsLiLaCl5 crystal (GGA-PBE, the Alexandria database).

Output
The density of states at the Fermi level comes out at 0.000 states/eV/atom. As for the energy: -4.273 eV/atom.

```
data_CsLiLaCl5
_chemical_formula_sum 'Cs2 Li2 La2 Cl10'
_space_group_name_H-M_alt 'P 1'
_space_group_IT_number 1
_space_group_name_Hall 'P 1'
_cell_length_a 7.884
_cell_length_b 7.884
_cell_length_c 10.591
_cell_angle_alpha 103.78
_cell_angle_beta 103.78
_cell_angle_gamma 106.88
loop_
_atom_site_label
_atom_site_fract_x
_atom_site_fract_y
_atom_site_fract_z
Cs1 0.157 0.843 0.750
Cs2 0.843 0.157 0.250
Li1 0.190 0.810 0.250
Li2 0.810 0.190 0.750
La1 0.500 0.500 0.000
La2 0.500 0.500 0.500
Cl1 0.124 0.265 0.910
Cl2 0.204 0.608 0.392
Cl3 0.265 0.124 0.410
Cl4 0.392 0.796 0.108
Cl5 0.427 0.573 0.750
Cl6 0.573 0.427 0.250
Cl7 0.608 0.204 0.892
Cl8 0.735 0.876 0.590
Cl9 0.796 0.392 0.608
Cl10 0.876 0.735 0.090
```

***

Entry 5:
# CsLi2LaCl6

A relaxed CsLi2LaCl6 crystal (GGA-PBE, the Alexandria database).

Output
The density of states at the Fermi level comes out at 0.000 states/eV/atom. As for the energy: -4.148 eV/atom.

```
data_CsLi2LaCl6
_chemical_formula_sum 'Cs1 Li2 La1 Cl6'
_space_group_name_H-M_alt 'P 1'
_space_group_IT_number 1
_space_group_name_Hall 'P 1'
_cell_length_a 6.822
_cell_length_b 6.823
_cell_length_c 9.225
_cell_angle_alpha 90.00
_cell_angle_beta 111.69
_cell_angle_gamma 119.98
loop_
_atom_site_label
_atom_site_fract_x
_atom_site_fract_y
_atom_site_fract_z
Cs1 0.000 0.000 0.000
Li1 0.346 0.172 0.519
Li2 0.654 0.826 0.481
La1 0.000 0.499 0.500
Cl1 0.117 0.208 0.674
Cl2 0.234 0.442 0.326
Cl3 0.465 0.907 0.674
Cl4 0.535 0.091 0.325
Cl5 0.766 0.556 0.675
Cl6 0.882 0.790 0.325
```

***

Entry 6:
# Cs2LiLaCl6

A relaxed Cs2LiLaCl6 crystal (GGA-PBE, the Alexandria database).

Output
The density of states at the Fermi level comes out at 0.000 states/eV/atom. As for the energy: -4.111 eV/atom.

```
data_Cs2LiLaCl6
_chemical_formula_sum 'Cs2 Li1 La1 Cl6'
_space_group_name_H-M_alt 'P 1'
_space_group_IT_number 1
_space_group_name_Hall 'P 1'
_cell_length_a 7.667
_cell_length_b 7.667
_cell_length_c 7.667
_cell_angle_alpha 60.00
_cell_angle_beta 60.00
_cell_angle_gamma 60.00
loop_
_atom_site_label
_atom_site_fract_x
_atom_site_fract_y
_atom_site_fract_z
Cs1 0.250 0.250 0.250
Cs2 0.750 0.750 0.750
Li1 0.000 0.000 0.000
La1 0.500 0.500 0.500
Cl1 0.244 0.244 0.756
Cl2 0.244 0.756 0.244
Cl3 0.244 0.756 0.756
Cl4 0.756 0.244 0.244
Cl5 0.756 0.244 0.756
Cl6 0.756 0.756 0.244
```

***

Entry 7:
# Cs2Li2LaCl6

A relaxed Cs2Li2LaCl6 crystal (GGA-PBE, the Alexandria database).

Output
The density of states at the Fermi level comes out at 0.070 states/eV/atom. As for the energy: -3.854 eV/atom.

```
data_Cs2Li2LaCl6
_chemical_formula_sum 'Cs2 Li2 La1 Cl6'
_space_group_name_H-M_alt 'P 1'
_space_group_IT_number 1
_space_group_name_Hall 'P 1'
_cell_length_a 7.331
_cell_length_b 7.331
_cell_length_c 9.007
_cell_angle_alpha 112.89
_cell_angle_beta 112.89
_cell_angle_gamma 59.58
loop_
_atom_site_label
_atom_site_fract_x
_atom_site_fract_y
_atom_site_fract_z
Cs1 0.202 0.202 0.175
Cs2 0.798 0.798 0.825
Li1 0.445 0.445 0.661
Li2 0.555 0.555 0.339
La1 0.000 0.000 0.500
Cl1 0.190 0.724 0.216
Cl2 0.243 0.243 0.599
Cl3 0.276 0.810 0.784
Cl4 0.724 0.190 0.216
Cl5 0.757 0.757 0.401
Cl6 0.810 0.276 0.784
```

***

Entry 8:
# Cs2LaMgCl6

A relaxed Cs2LaMgCl6 crystal (GGA-PBE, the Alexandria database).

Output
The density of states at the Fermi level comes out at 0.663 states/eV/atom. As for the energy: -3.854 eV/atom.

```
data_Cs2LaMgCl6
_chemical_formula_sum 'Cs2 La1 Mg1 Cl6'
_space_group_name_H-M_alt 'P 1'
_space_group_IT_number 1
_space_group_name_Hall 'P 1'
_cell_length_a 7.666
_cell_length_b 7.666
_cell_length_c 7.666
_cell_angle_alpha 121.43
_cell_angle_beta 118.66
_cell_angle_gamma 89.94
loop_
_atom_site_label
_atom_site_fract_x
_atom_site_fract_y
_atom_site_fract_z
Cs1 0.247 0.247 0.000
Cs2 0.753 0.753 0.000
La1 0.000 0.500 0.500
Mg1 0.500 0.000 0.500
Cl1 0.267 0.767 0.500
Cl2 0.270 0.238 0.509
Cl3 0.270 0.762 0.032
Cl4 0.730 0.238 0.968
Cl5 0.730 0.762 0.491
Cl6 0.733 0.233 0.500
```

***

Entry 9:
# CsLaMg2Cl8

A relaxed CsLaMg2Cl8 crystal (GGA-PBE, the Alexandria database).

Output
The density of states at the Fermi level comes out at 0.000 states/eV/atom. As for the energy: -3.993 eV/atom.

```
data_CsLaMg2Cl8
_chemical_formula_sum 'Cs1 La1 Mg2 Cl8'
_space_group_name_H-M_alt 'P 1'
_space_group_IT_number 1
_space_group_name_Hall 'P 1'
_cell_length_a 11.252
_cell_length_b 11.252
_cell_length_c 11.252
_cell_angle_alpha 34.63
_cell_angle_beta 34.63
_cell_angle_gamma 34.63
loop_
_atom_site_label
_atom_site_fract_x
_atom_site_fract_y
_atom_site_fract_z
Cs1 0.000 0.000 0.000
La1 0.500 0.500 0.500
Mg1 0.247 0.247 0.247
Mg2 0.753 0.753 0.753
Cl1 0.111 0.785 0.446
Cl2 0.215 0.554 0.889
Cl3 0.318 0.318 0.318
Cl4 0.446 0.111 0.785
Cl5 0.554 0.889 0.215
Cl6 0.682 0.682 0.682
Cl7 0.785 0.446 0.111
Cl8 0.889 0.215 0.554
```

***

Entry 10:
# CsLaMo2Cl

A relaxed CsLaMo2Cl crystal (GGA-PBE, the Alexandria database).

Output
The density of states at the Fermi level comes out at 0.610 states/eV/atom. As for the energy: -4.774 eV/atom.

```
data_CsLaMo2Cl
_chemical_formula_sum 'Cs1 La1 Mo2 Cl1'
_space_group_name_H-M_alt 'P 1'
_space_group_IT_number 1
_space_group_name_Hall 'P 1'
_cell_length_a 5.104
_cell_length_b 5.104
_cell_length_c 6.378
_cell_angle_alpha 90.00
_cell_angle_beta 90.00
_cell_angle_gamma 90.00
loop_
_atom_site_label
_atom_site_fract_x
_atom_site_fract_y
_atom_site_fract_z
Cs1 0.000 0.000 0.000
La1 0.500 0.500 0.500
Mo1 0.000 0.500 0.500
Mo2 0.500 0.000 0.500
Cl1 0.500 0.500 0.000
```

***

Entry 11:
# CsNa2LaCl6

A relaxed CsNa2LaCl6 crystal (GGA-PBE, the Alexandria database).

Output
The density of states at the Fermi level comes out at 0.000 states/eV/atom. As for the energy: -4.028 eV/atom.

```
data_CsNa2LaCl6
_chemical_formula_sum 'Cs1 Na2 La1 Cl6'
_space_group_name_H-M_alt 'P 1'
_space_group_IT_number 1
_space_group_name_Hall 'P 1'
_cell_length_a 8.005
_cell_length_b 8.005
_cell_length_c 8.005
_cell_angle_alpha 55.27
_cell_angle_beta 55.27
_cell_angle_gamma 55.27
loop_
_atom_site_label
_atom_site_fract_x
_atom_site_fract_y
_atom_site_fract_z
Cs1 0.000 0.000 0.000
Na1 0.213 0.213 0.213
Na2 0.729 0.729 0.729
La1 0.530 0.530 0.530
Cl1 0.130 0.465 0.804
Cl2 0.410 0.938 0.525
Cl3 0.465 0.804 0.130
Cl4 0.525 0.410 0.938
Cl5 0.804 0.130 0.465
Cl6 0.938 0.525 0.410
```

***

Entry 12:
# CsNaLaCl5

A relaxed CsNaLaCl5 crystal (GGA-PBE, the Alexandria database).

Output
The density of states at the Fermi level comes out at 0.000 states/eV/atom. As for the energy: -4.194 eV/atom.

```
data_CsNaLaCl5
_chemical_formula_sum 'Cs2 Na2 La2 Cl10'
_space_group_name_H-M_alt 'P 1'
_space_group_IT_number 1
_space_group_name_Hall 'P 1'
_cell_length_a 8.134
_cell_length_b 8.134
_cell_length_c 10.744
_cell_angle_alpha 102.81
_cell_angle_beta 102.81
_cell_angle_gamma 108.74
loop_
_atom_site_label
_atom_site_fract_x
_atom_site_fract_y
_atom_site_fract_z
Cs1 0.164 0.836 0.750
Cs2 0.836 0.164 0.250
Na1 0.187 0.813 0.250
Na2 0.813 0.187 0.750
La1 0.500 0.500 0.000
La2 0.500 0.500 0.500
Cl1 0.141 0.252 0.925
Cl2 0.209 0.601 0.410
Cl3 0.252 0.141 0.425
Cl4 0.399 0.791 0.090
Cl5 0.432 0.568 0.750
Cl6 0.568 0.432 0.250
Cl7 0.601 0.209 0.910
Cl8 0.748 0.859 0.575
Cl9 0.791 0.399 0.590
Cl10 0.859 0.748 0.075
```